Compound: Y2PSe
Source: Alexandria via LeMat-Bulk
Functional: PBE
Structure: optimized geometry

## Properties
DOS(E_F)	3.554	states/eV per cell
raw formation energy	-1.514	eV per atom
theoretical density	4.92	g/cm3

Cell: 4.0732 3.9153 12.1735 Å, 90.00 90.00 90.00°
Last column: nearest neighbours and their distance in Å.
Space group Amm2 (No. 38)
Inequivalent atoms, fractional coordinates:
Y: 0.0000 0.0000 0.0000 x2  1 P 2.78, 4 Se 2.84
Y: 0.5000 0.0000 0.2827 x2  4 P 2.83, 1 Se 2.90
P: 0.0000 0.0000 0.7716 x2  5 Y 2.78-2.83
Se: 0.5000 0.0000 0.5207 x2  5 Y 2.84-2.90